A plane-wave DFT calculation with PBE-GGA was carried out for an optimized crystal structure of Ac5PtPb2.

a b c (Å): 9.067 13.481 4.930
angles (deg): 90.00 90.00 90.00
Fractional coordinates of all 16 atoms:
Ac1 0.000 0.000 0.000
Ac2 0.143 0.296 0.000
Ac3 0.181 0.568 0.500
Ac4 0.319 0.068 0.500
Ac5 0.357 0.796 0.000
Ac6 0.500 0.500 0.000
Ac7 0.643 0.204 0.000
Ac8 0.681 0.932 0.500
Ac9 0.819 0.432 0.500
Ac10 0.857 0.704 0.000
Pt1 0.000 0.500 0.000
Pt2 0.500 0.000 0.000
Pb1 0.077 0.828 0.500
Pb2 0.423 0.328 0.500
Pb3 0.577 0.672 0.500
Pb4 0.923 0.172 0.500

Properties
Calculated volume (Å³ per cell): 602.6
Formation energy from the elements (eV/atom): -0.64
VASP energy (eV per atom): -4.891
Relative energy among the computed polymorphs (eV/atom): 0.000